Entry 1
Below is a relaxed La8Pm6Sm crystal, with properties calculated at the PBE-GGA level.

Computed properties:
magnetization = 0.0000 μB per atom

Cell lengths 6.4159, 6.4159, 15.5438 Å; angles 78.09, 78.09, 60.00 degrees
Last column: nearest neighbours and their distance in Å.
Positions (direct):
Pm 0.9342 0.6016 0.1976  1 Sm 3.67, 5 La 3.67-3.70, 6 Pm 3.69-3.71
Pm 0.7334 0.0658 0.8024  1 Sm 3.67, 5 La 3.67-3.70, 6 Pm 3.69-3.71
Pm 0.2666 0.9342 0.1976  1 Sm 3.67, 5 La 3.67-3.70, 6 Pm 3.69-3.71
Pm 0.6016 0.2666 0.1976  1 Sm 3.67, 5 La 3.67-3.70, 6 Pm 3.69-3.71
Pm 0.0658 0.3984 0.8024  1 Sm 3.67, 5 La 3.67-3.70, 6 Pm 3.69-3.71
Pm 0.3984 0.7334 0.8024  1 Sm 3.67, 5 La 3.67-3.70, 6 Pm 3.69-3.71
La 0.5341 0.8676 0.3972  3 Pm 3.69-3.70, 9 La 3.70-3.77
La 0.2011 0.5341 0.3972  3 Pm 3.69-3.70, 9 La 3.70-3.77
La 0.8676 0.2011 0.3972  3 Pm 3.69-3.70, 9 La 3.70-3.77
La 0.1324 0.7989 0.6028  3 Pm 3.69-3.70, 9 La 3.70-3.77
La 0.7989 0.4659 0.6028  3 Pm 3.69-3.70, 9 La 3.70-3.77
La 0.4659 0.1324 0.6028  3 Pm 3.69-3.70, 9 La 3.70-3.77
La 0.6667 0.6667 0.0000  6 Pm 3.67, 3 Sm 3.70, 3 La 3.70
La 0.3333 0.3333 0.0000  6 Pm 3.67, 3 Sm 3.70, 3 La 3.70
Sm 0.0000 0.0000 0.0000  6 Pm 3.67, 6 La 3.70

=====

Entry 2
Below is a relaxed La8Pm6Sm crystal, with properties calculated at the PBE-GGA level.

Computed properties:
magnetization = 0.0000 μB per atom

Cell lengths 9.6371, 9.6371, 8.7018 Å; angles 56.38, 56.38, 60.00 degrees
Last column: nearest neighbours and their distance in Å.
Positions (direct):
La 0.0826 0.6564 0.4913  3 Pm 3.54-3.81, 7 La 3.55-3.96, 1 Sm 3.92
La 0.5752 0.5752 0.2744  1 La 3.02, 3 Pm 3.19
La 0.6564 0.7696 0.4913  3 Pm 3.54-3.81, 7 La 3.55-3.96, 1 Sm 3.92
La 0.3436 0.2304 0.5087  3 Pm 3.54-3.81, 7 La 3.55-3.96, 1 Sm 3.92
La 0.7696 0.0826 0.4913  3 Pm 3.54-3.81, 7 La 3.55-3.96, 1 Sm 3.92
La 0.2304 0.9174 0.5087  3 Pm 3.54-3.81, 7 La 3.55-3.96, 1 Sm 3.92
La 0.4248 0.4248 0.7256  1 La 3.02, 3 Pm 3.19
La 0.9174 0.3436 0.5087  3 Pm 3.54-3.81, 7 La 3.55-3.96, 1 Sm 3.92
Pm 0.4337 0.8955 0.9368  2 La 3.19-3.54, 1 Sm 3.56
Pm 0.8955 0.7340 0.9368  2 La 3.19-3.54, 1 Sm 3.56
Pm 0.5663 0.1045 0.0632  2 La 3.19-3.54, 1 Sm 3.56
Pm 0.2660 0.5663 0.0632  2 La 3.19-3.54, 1 Sm 3.56
Pm 0.7340 0.4337 0.9368  2 La 3.19-3.54, 1 Sm 3.56
Pm 0.1045 0.2660 0.0632  2 La 3.19-3.54, 1 Sm 3.56
Sm 0.0000 0.0000 0.0000  6 Pm 3.56, 6 La 3.92

=====

The structure with the most favorable energy is entry 1; the runner-up is 10.5 kJ/mol of atoms above it.

=====

Entry 1
Below is a relaxed LaPm6Sm8 crystal, with properties calculated at the PBE-GGA level.

Computed properties:
magnetization = 0.0000 μB per atom

Cell lengths 8.3658, 8.3658, 8.3658 Å; angles 72.09, 72.09, 72.09 degrees
Last column: nearest neighbours and their distance in Å.
Positions (direct):
La 0.0000 0.0000 0.0000  6 Sm 3.06
Sm 0.0510 0.8693 0.3693  1 La 3.06, 1 Sm 3.31
Sm 0.9490 0.1307 0.6307  1 La 3.06, 1 Sm 3.31
Sm 0.2404 0.2404 0.2404  6 Sm 3.48-3.64, 6 Pm 3.78-3.81
Sm 0.3693 0.0510 0.8693  1 La 3.06, 1 Sm 3.31
Sm 0.7596 0.7596 0.7596  6 Sm 3.48-3.64, 6 Pm 3.78-3.81
Sm 0.1307 0.6307 0.9490  1 La 3.06, 1 Sm 3.31
Sm 0.6307 0.9490 0.1307  1 La 3.06, 1 Sm 3.31
Sm 0.8693 0.3693 0.0510  1 La 3.06, 1 Sm 3.31
Pm 0.6156 0.1735 0.4402  7 Sm 3.50-3.81, 3 Pm 3.69-3.80
Pm 0.3844 0.8265 0.5598  7 Sm 3.50-3.81, 3 Pm 3.69-3.80
Pm 0.4402 0.6156 0.1735  7 Sm 3.50-3.81, 3 Pm 3.69-3.80
Pm 0.5598 0.3844 0.8265  7 Sm 3.50-3.81, 3 Pm 3.69-3.80
Pm 0.8265 0.5598 0.3844  7 Sm 3.50-3.81, 3 Pm 3.69-3.80
Pm 0.1735 0.4402 0.6156  7 Sm 3.50-3.81, 3 Pm 3.69-3.80

=====

Entry 2
Below is a relaxed LaPm6Sm8 crystal, with properties calculated at the PBE-GGA level.

Computed properties:
magnetization = 0.0000 μB per atom

Cell lengths 9.4150, 9.4150, 8.6996 Å; angles 57.24, 57.24, 60.00 degrees
Last column: nearest neighbours and their distance in Å.
Positions (direct):
Sm 0.0830 0.6540 0.4904  7 Sm 3.47-3.82, 3 Pm 3.51-3.73
Sm 0.6540 0.7726 0.4904  7 Sm 3.47-3.82, 3 Pm 3.51-3.73
Sm 0.4286 0.4286 0.7141  1 Sm 2.91, 3 Pm 3.25
Sm 0.7726 0.0830 0.4904  7 Sm 3.47-3.82, 3 Pm 3.51-3.73
Sm 0.9170 0.3460 0.5096  7 Sm 3.47-3.82, 3 Pm 3.51-3.73
Sm 0.5714 0.5714 0.2859  1 Sm 2.91, 3 Pm 3.25
Sm 0.3460 0.2274 0.5096  7 Sm 3.47-3.82, 3 Pm 3.51-3.73
Sm 0.2274 0.9170 0.5096  7 Sm 3.47-3.82, 3 Pm 3.51-3.73
Pm 0.8936 0.7344 0.9263  3 Sm 3.25-3.55, 1 La 3.55, 1 Pm 3.60
Pm 0.4458 0.8936 0.9263  3 Sm 3.25-3.55, 1 La 3.55, 1 Pm 3.60
Pm 0.2656 0.5542 0.0737  3 Sm 3.25-3.55, 1 La 3.55, 1 Pm 3.60
Pm 0.5542 0.1064 0.0737  3 Sm 3.25-3.55, 1 La 3.55, 1 Pm 3.60
Pm 0.1064 0.2656 0.0737  3 Sm 3.25-3.55, 1 La 3.55, 1 Pm 3.60
Pm 0.7344 0.4458 0.9263  3 Sm 3.25-3.55, 1 La 3.55, 1 Pm 3.60
La 0.0000 0.0000 0.0000  6 Pm 3.55, 6 Sm 3.93

=====

The structure with the most favorable energy is entry 1; the runner-up is 0.6 kJ/mol of atoms above it.

=====

Entry 1
Below is a relaxed La4Pm5Sm2 crystal, with properties calculated at the PBE-GGA level.

Computed properties:
magnetization = 0.0000 μB per atom

Cell lengths 3.6030, 11.9619, 9.2285 Å; angles 94.38, 101.26, 90.00 degrees
Last column: nearest neighbours and their distance in Å.
Positions (direct):
Pm 0.0961 0.5402 0.1923  4 La 3.40-3.60, 3 Sm 3.52-3.66, 3 Pm 3.54-3.60
Pm 0.5000 0.0000 0.0000  6 Pm 3.60-3.74, 6 La 3.64-3.66
Pm 0.9039 0.4598 0.8077  4 La 3.40-3.60, 3 Sm 3.52-3.66, 3 Pm 3.54-3.60
Pm 0.8217 0.9278 0.6433  4 La 3.51-3.77, 6 Pm 3.60-3.74, 2 Sm 3.89
Pm 0.1783 0.0722 0.3567  4 La 3.51-3.77, 6 Pm 3.60-3.74, 2 Sm 3.89
La 0.9623 0.7373 0.9247  5 Pm 3.40-3.64, 4 La 3.60-3.72, 2 Sm 3.80
La 0.3590 0.2029 0.7180  6 Pm 3.51-3.77, 4 La 3.60-3.72, 2 Sm 3.77
La 0.6410 0.7971 0.2820  6 Pm 3.51-3.77, 4 La 3.60-3.72, 2 Sm 3.77
La 0.0377 0.2627 0.0753  5 Pm 3.40-3.64, 4 La 3.60-3.72, 2 Sm 3.80
Sm 0.2841 0.6409 0.5682  5 Pm 3.52-3.89, 4 Sm 3.60-3.93, 4 La 3.77-3.80
Sm 0.7159 0.3591 0.4318  5 Pm 3.52-3.89, 4 Sm 3.60-3.93, 4 La 3.77-3.80

=====

Entry 2
Below is a relaxed La4Pm5Sm2 crystal, with properties calculated at the PBE-GGA level.

Computed properties:
magnetization = 0.0000 μB per atom

Cell lengths 3.5702, 9.5278, 12.7084 Å; angles 112.02, 98.07, 90.00 degrees
Last column: nearest neighbours and their distance in Å.
Positions (direct):
Pm 0.1492 0.9505 0.2985  1 Sm 3.42, 3 Pm 3.57-3.79, 3 La 3.58-3.62
Pm 0.8508 0.6520 0.7015  1 Sm 3.42, 3 Pm 3.57-3.79, 3 La 3.58-3.62
Pm 0.1492 0.3480 0.2985  1 Sm 3.42, 3 Pm 3.57-3.79, 3 La 3.58-3.62
Pm 0.8508 0.0495 0.7015  1 Sm 3.42, 3 Pm 3.57-3.79, 3 La 3.58-3.62
Pm 0.5000 0.0000 0.0000  4 La 3.30, 2 Pm 3.57
La 0.5933 0.5933 0.1866  1 Sm 3.15, 4 La 3.45
La 0.0000 0.7092 0.0000  4 Pm 3.30-3.58, 6 La 3.45-3.57
La 0.4067 0.4067 0.8134  1 Sm 3.15, 4 La 3.45
La 0.0000 0.2908 0.0000  4 Pm 3.30-3.58, 6 La 3.45-3.57
Sm 0.2716 0.2716 0.5432  1 La 3.15, 2 Pm 3.42
Sm 0.7284 0.7284 0.4568  1 La 3.15, 2 Pm 3.42

=====

The structure with the most favorable energy is entry 1; the runner-up is 15.1 kJ/mol of atoms above it.

=====

Entry 1
Below is a relaxed LaPm5Sm5 crystal, with properties calculated at the PBE-GGA level.

Computed properties:
magnetization = 0.0000 μB per atom

Cell lengths 6.2406, 6.2406, 11.6816 Å; angles 90.00, 90.00, 120.00 degrees
Last column: nearest neighbours and their distance in Å.
Positions (direct):
Pm 0.6667 0.3333 0.8395  7 Pm 3.75-4.11, 3 Sm 3.81, 3 La 4.06
Pm 0.3333 0.6667 0.6711  9 Sm 3.68-3.71, 1 La 3.84, 4 Pm 4.00-4.11
Pm 0.3333 0.6667 0.3289  9 Sm 3.68-3.71, 1 La 3.84, 4 Pm 4.00-4.11
Pm 0.6667 0.3333 0.1605  7 Pm 3.75-4.11, 3 Sm 3.81, 3 La 4.06
Pm 0.0000 0.0000 0.0000  2 Sm 3.10
Sm 0.0000 0.0000 0.7345  1 Pm 3.10, 3 Sm 3.29
Sm 0.8311 0.1689 0.5000  6 Sm 3.08-3.29
Sm 0.3378 0.1689 0.5000  6 Sm 3.08-3.29
Sm 0.8311 0.6622 0.5000  6 Sm 3.08-3.29
Sm 0.0000 0.0000 0.2655  1 Pm 3.10, 3 Sm 3.29
La 0.3333 0.6667 0.0000  5 Pm 3.60-3.84

=====

Entry 2
Below is a relaxed LaPm5Sm5 crystal, with properties calculated at the PBE-GGA level.

Computed properties:
magnetization = 0.0000 μB per atom

Cell lengths 6.3134, 5.1718, 13.1902 Å; angles 101.41, 94.34, 114.17 degrees
Last column: nearest neighbours and their distance in Å.
Positions (direct):
Pm 0.1191 0.9681 0.7719  7 Sm 3.64-3.68, 3 Pm 3.65-3.66, 2 La 3.67-3.68
Pm 0.9383 0.1506 0.3178  6 Sm 3.63-3.65, 6 Pm 3.65-3.66
Pm 0.8485 0.2426 0.5909  4 Sm 3.64-3.65, 8 Pm 3.65-3.66
Pm 0.2108 0.8777 0.4991  3 Sm 3.63-3.66, 9 Pm 3.64-3.66
Pm 0.5761 0.5154 0.4095  4 Sm 3.64-3.65, 8 Pm 3.64-3.66
Sm 0.7572 0.3325 0.8627  4 Pm 3.64-3.66, 3 La 3.65-3.66, 5 Sm 3.66-3.68
Sm 0.6692 0.4261 0.1374  3 Pm 3.64-3.65, 7 Sm 3.64-3.68, 2 La 3.67
Sm 0.3043 0.7889 0.2285  6 Pm 3.63-3.65, 5 Sm 3.64-3.66, 1 La 3.67
Sm 0.4833 0.6048 0.6805  9 Pm 3.64-3.66, 2 Sm 3.66-3.67, 1 La 3.67
Sm 0.0318 0.0623 0.0470  2 Pm 3.63-3.68, 7 Sm 3.64-3.68, 3 La 3.65
La 0.3947 0.6975 0.9548  10 Sm 3.65-3.67, 2 Pm 3.67-3.68

=====

The structure with the most favorable energy is entry 2; the runner-up is 25.6 kJ/mol of atoms above it.

=====

Entry 1
Below is a relaxed La3Pm4Sm2 crystal, with properties calculated at the PBE-GGA level.

Computed properties:
magnetization = 0.0000 μB per atom

Cell lengths 6.3632, 6.3743, 13.2578 Å; angles 118.67, 103.86, 120.00 degrees
Last column: nearest neighbours and their distance in Å.
Positions (direct):
Pm 0.8899 0.7794 0.6663  5 La 3.66-3.69, 4 Sm 3.67-3.69, 3 Pm 3.68
Pm 0.1101 0.2206 0.3337  5 La 3.66-3.69, 4 Sm 3.67-3.69, 3 Pm 3.68
Pm 0.3351 0.6674 0.0000  5 La 3.66-3.69, 5 Pm 3.67-3.69, 2 Sm 3.67-3.69
Pm 0.6649 0.3326 0.0000  5 La 3.66-3.69, 5 Pm 3.67-3.69, 2 Sm 3.67-3.69
La 0.4455 0.8887 0.3338  6 Pm 3.66-3.69, 2 La 3.67-3.69, 4 Sm 3.67-3.69
La 0.5545 0.1113 0.6662  6 Pm 3.66-3.69, 2 La 3.67-3.69, 4 Sm 3.67-3.69
La 0.0000 0.0000 0.0000  8 Pm 3.66-3.69, 2 Sm 3.68, 2 La 3.69
Sm 0.2215 0.4443 0.6666  6 Pm 3.67-3.69, 5 La 3.67-3.69, 1 Sm 3.69
Sm 0.7785 0.5557 0.3334  6 Pm 3.67-3.69, 5 La 3.67-3.69, 1 Sm 3.69

=====

Entry 2
Below is a relaxed La3Pm4Sm2 crystal, with properties calculated at the PBE-GGA level.

Computed properties:
magnetization = 0.0000 μB per atom

Cell lengths 3.6656, 3.6656, 27.5194 Å; angles 90.00, 90.00, 120.00 degrees
Last column: nearest neighbours and their distance in Å.
Positions (direct):
Pm 0.0000 0.0000 0.7658  3 Sm 3.58, 6 Pm 3.67, 3 La 3.75
Pm 0.6667 0.3333 0.4355  9 Pm 3.60-3.67, 3 La 3.79
Pm 0.0000 0.0000 0.5413  9 Pm 3.60-3.67, 3 La 3.74
Pm 0.6667 0.3333 0.2140  1 Sm 3.39, 3 La 3.63, 6 Pm 3.67
Sm 0.6667 0.3333 0.8708  3 Pm 3.58, 6 Sm 3.67, 3 La 3.78
Sm 0.6667 0.3333 0.0908  1 Pm 3.39, 3 La 3.61, 6 Sm 3.67
La 0.6667 0.3333 0.6534  6 La 3.67, 6 Pm 3.74-3.75
La 0.0000 0.0000 0.3212  6 Pm 3.63-3.79, 6 La 3.67
La 0.0000 0.0000 0.9844  6 Sm 3.61-3.78, 6 La 3.67

=====

The structure with the most favorable energy is entry 1; the runner-up is 4.5 kJ/mol of atoms above it.